3
Lattice="4.550 0.000 0.000 -2.275 3.940 0.000 0.000 0.000 2.749" Properties=species:S:1:pos:R:3 comment="ZrNiMo | the Alexandria database | PBE-GGA | optimized geometry" volume_a3_per_atom=16.430 formation_energy_ev_per_fu=0.5 total_magnetization_mub_per_cell=0.00 polymorph_energy_ev_per_fu=1.20 density_kg_m3=8283 pbc="T T T"
Mo 0.000 0.000 0.459
Ni 2.275 1.313 0.456
Zr 0.000 2.627 1.833